KRePb2O6: relaxed, PBE-GGA.

abc: 5.7386 6.5855 8.6386
angles: 90.00 88.72 90.00
With the nearest neighbours (Å) after each atom.
Sites, in units of the cell vectors:
Pb  0.4951  0.4632  0.2206  6 O 2.45-2.67
K  0.0000  0.5000  0.5000  6 O 2.62-2.91
O  0.6388  0.2190  0.6065  1 Re 1.90
Pb  0.9951  0.0368  0.7206  6 O 2.45-2.67
Re  0.5000  0.0000  0.5000  6 O 1.90-1.94
O  0.3862  0.8918  0.6937  1 Re 1.92
O  0.1138  0.3918  0.8063  1 Re 1.92
O  0.8862  0.6082  0.1937  1 Re 1.92
O  0.7910  0.8536  0.5173  1 Re 1.94
O  0.2910  0.6464  0.0173  1 Re 1.94
O  0.1388  0.2810  0.1065  1 Re 1.90
O  0.2090  0.1464  0.4827  1 Re 1.94
O  0.8612  0.7190  0.8935  1 Re 1.90
Pb  0.0049  0.9632  0.2794  6 O 2.45-2.67
O  0.3612  0.7810  0.3935  1 Re 1.90
Re  0.0000  0.5000  0.0000  6 O 1.90-1.94
K  0.5000  0.0000  0.0000  6 O 2.62-2.91
Pb  0.5049  0.5368  0.7794  6 O 2.45-2.67
O  0.7090  0.3536  0.9827  1 Re 1.94
O  0.6138  0.1082  0.3063  1 Re 1.92

Properties
Formation energy from raw total energies in eV/atom: -1.47